(1)
Material: CuRe3F
Method: DFT, GGA-PBE
State: optimized geometry

**Spin magnetization**: 0.0 Bohr magnetons per cell
**Offset from the most stable computed form**: 938 meV/atom
**Raw formation energy**: 236.0 kJ/mol of atoms
**Electronic total energy**: -31.08 eV per cell
**Crystal system**: cubic
**Calculated volume**: 91 Å³ per cell

```
data_CuRe3F
_chemical_formula_sum 'Cu1 Re3 F1'
_cell_length_a 4.4898
_cell_length_b 4.4898
_cell_length_c 4.4898
_cell_angle_alpha 90.00
_cell_angle_beta 90.00
_cell_angle_gamma 90.00
_space_group_name_H-M_alt 'P m -3 m'
_space_group_IT_number 221
_space_group_name_Hall '-P 4 2 3'
loop_
_atom_site_label
_atom_site_type_symbol
_atom_site_fract_x
_atom_site_fract_y
_atom_site_fract_z
Cu1 Cu 0.0000 0.0000 0.0000
Re1 Re 0.0000 0.0000 0.5000
F1 F 0.5000 0.5000 0.5000
```

(2)
Material: CsScTi
Method: DFT, GGA-PBE
State: optimized geometry

**Spin magnetization**: 1.7 Bohr magnetons per cell
**Offset from the most stable computed form**: 466 meV/atom
**E_form**: 80.7 kJ per mole of atoms
**Electronic total energy**: -50.28 eV per cell
**Crystal system**: orthorhombic
**Calculated volume**: 432 Å³ per cell

```
data_CsScTi
_chemical_formula_sum 'Cs4 Sc4 Ti4'
_cell_length_a 5.8684
_cell_length_b 5.0967
_cell_length_c 14.4338
_cell_angle_alpha 90.00
_cell_angle_beta 90.00
_cell_angle_gamma 90.00
_space_group_name_H-M_alt 'P n m a'
_space_group_IT_number 62
_space_group_name_Hall '-P 2ac 2n'
loop_
_atom_site_label
_atom_site_type_symbol
_atom_site_fract_x
_atom_site_fract_y
_atom_site_fract_z
Cs1 Cs 0.2489 0.2500 0.0124
Sc1 Sc 0.1081 0.7500 0.2601
Ti1 Ti 0.1457 0.7500 0.7537
```

(3)
Material: AcEuGdLu
Method: DFT, GGA-PBE
State: optimized geometry

**Spin magnetization**: 60.3 Bohr magnetons per cell
**E_form**: 11.7 kJ per mole of atoms
**Electronic total energy**: -130.00 eV per cell
**Crystal system**: cubic
**Calculated volume**: 583 Å³ per cell

```
data_AcEuGdLu
_chemical_formula_sum 'Ac4 Eu4 Gd4 Lu4'
_cell_length_a 8.3539
_cell_length_b 8.3539
_cell_length_c 8.3539
_cell_angle_alpha 90.00
_cell_angle_beta 90.00
_cell_angle_gamma 90.00
_space_group_name_H-M_alt 'F -4 3 m'
_space_group_IT_number 216
_space_group_name_Hall 'F -4 2 3'
loop_
_atom_site_label
_atom_site_type_symbol
_atom_site_fract_x
_atom_site_fract_y
_atom_site_fract_z
Ac1 Ac 0.0000 0.0000 0.0000
Eu1 Eu 0.2500 0.2500 0.7500
Gd1 Gd 0.0000 0.0000 0.5000
Lu1 Lu 0.2500 0.2500 0.2500
```

(4)
Material: LuMgAu2
Method: DFT, GGA-PBE
State: optimized geometry

**Spin magnetization**: 0.0 Bohr magnetons per cell
**E_form**: -73.0 kJ per mole of atoms
**Electronic total energy**: -15.70 eV per cell
**Crystal system**: tetragonal
**Calculated volume**: 81 Å³ per cell

```
data_LuMgAu2
_chemical_formula_sum 'Lu1 Mg1 Au2'
_cell_length_a 3.4516
_cell_length_b 3.4516
_cell_length_c 6.7722
_cell_angle_alpha 90.00
_cell_angle_beta 90.00
_cell_angle_gamma 90.00
_space_group_name_H-M_alt 'P 4/m m m'
_space_group_IT_number 123
_space_group_name_Hall '-P 4 2'
loop_
_atom_site_label
_atom_site_type_symbol
_atom_site_fract_x
_atom_site_fract_y
_atom_site_fract_z
Lu1 Lu 0.0000 0.0000 0.0000
Mg1 Mg 0.0000 0.0000 0.5000
Au1 Au 0.5000 0.5000 0.2571
```

(5)
Material: CaTmGaPb
Method: DFT, GGA-PBE
State: optimized geometry

**Spin magnetization**: 0.0 Bohr magnetons per cell
**E_form**: -38.8 kJ per mole of atoms
**Electronic total energy**: -59.26 eV per cell
**Crystal system**: cubic
**Calculated volume**: 420 Å³ per cell

```
data_CaTmGaPb
_chemical_formula_sum 'Ca4 Tm4 Ga4 Pb4'
_cell_length_a 7.4878
_cell_length_b 7.4878
_cell_length_c 7.4878
_cell_angle_alpha 90.00
_cell_angle_beta 90.00
_cell_angle_gamma 90.00
_space_group_name_H-M_alt 'F -4 3 m'
_space_group_IT_number 216
_space_group_name_Hall 'F -4 2 3'
loop_
_atom_site_label
_atom_site_type_symbol
_atom_site_fract_x
_atom_site_fract_y
_atom_site_fract_z
Ca1 Ca 0.0000 0.0000 0.0000
Tm1 Tm 0.0000 0.0000 0.5000
Ga1 Ga 0.2500 0.2500 0.2500
Pb1 Pb 0.2500 0.2500 0.7500
```

(6)
Material: VPdS2
Method: DFT, GGA-PBE
State: optimized geometry

**Spin magnetization**: 3.0 Bohr magnetons per cell
**Raw formation energy**: -50.2 kJ/mol of atoms
**Electronic total energy**: -98.59 eV per cell
**Crystal system**: orthorhombic
**Calculated volume**: 252 Å³ per cell

```
data_VPdS2
_chemical_formula_sum 'V4 Pd4 S8'
_cell_length_a 6.3922
_cell_length_b 3.0078
_cell_length_c 13.1233
_cell_angle_alpha 90.00
_cell_angle_beta 90.00
_cell_angle_gamma 90.00
_space_group_name_H-M_alt 'P n m a'
_space_group_IT_number 62
_space_group_name_Hall '-P 2ac 2n'
loop_
_atom_site_label
_atom_site_type_symbol
_atom_site_fract_x
_atom_site_fract_y
_atom_site_fract_z
V1 V 0.1599 0.2500 0.1903
Pd1 Pd 0.0553 0.7500 0.4026
S1 S 0.1417 0.2500 0.8012
S2 S 0.2054 0.7500 0.0561
```

(7)
Material: CsPr2Br8
Method: DFT, GGA-PBE
State: optimized geometry

**Spin magnetization**: 2.2 Bohr magnetons per cell
**Offset from the most stable computed form**: 76 meV/atom
**Raw formation energy**: -157.6 kJ/mol of atoms
**Electronic total energy**: -83.53 eV per cell
**Crystal system**: monoclinic
**Calculated volume**: 1008 Å³ per cell

```
data_CsPr2Br8
_chemical_formula_sum 'Cs2 Pr4 Br16'
_cell_length_a 12.3477
_cell_length_b 9.1533
_cell_length_c 9.0958
_cell_angle_alpha 90.00
_cell_angle_beta 101.29
_cell_angle_gamma 90.00
_space_group_name_H-M_alt 'C 1 2/m 1'
_space_group_IT_number 12
_space_group_name_Hall '-C 2y'
loop_
_atom_site_label
_atom_site_type_symbol
_atom_site_fract_x
_atom_site_fract_y
_atom_site_fract_z
Cs1 Cs 0.0000 0.0000 0.0000
Pr1 Pr 0.1771 0.5000 0.4625
Br1 Br 0.0559 0.5000 0.7096
Br2 Br 0.1485 0.1890 0.3458
Br3 Br 0.2390 0.0000 0.8140
```

(8)
Material: La3TlPt8
Method: DFT, GGA-PBE
State: optimized geometry

**Spin magnetization**: 0.0 Bohr magnetons per cell
**E_form**: -91.9 kJ per mole of atoms
**Electronic total energy**: -230.70 eV per cell
**Crystal system**: trigonal
**Calculated volume**: 720 Å³ per cell

```
data_La3TlPt8
_chemical_formula_sum 'La9 Tl3 Pt24'
_cell_length_a 5.5385
_cell_length_b 5.5385
_cell_length_c 27.1022
_cell_angle_alpha 90.00
_cell_angle_beta 90.00
_cell_angle_gamma 120.00
_space_group_name_H-M_alt 'R 3 m'
_space_group_IT_number 160
_space_group_name_Hall 'R 3 -2"'
loop_
_atom_site_label
_atom_site_type_symbol
_atom_site_fract_x
_atom_site_fract_y
_atom_site_fract_z
La1 La 0.0000 0.0000 0.0000
La2 La 0.0000 0.0000 0.1286
La3 La 0.0000 0.0000 0.5126
Tl1 Tl 0.0000 0.0000 0.6366
Pt1 Pt 0.0000 0.0000 0.3174
Pt2 Pt 0.0000 0.0000 0.8175
Pt3 Pt 0.0022 0.5011 0.0690
Pt4 Pt 0.1683 0.3365 0.8999
```

(9)
Material: EuAsO4
Method: DFT, GGA-PBE
State: optimized geometry

**Spin magnetization**: 24.0 Bohr magnetons per cell
**Raw formation energy**: -192.0 kJ/mol of atoms
**Electronic total energy**: -186.77 eV per cell
**Crystal system**: tetragonal
**Calculated volume**: 350 Å³ per cell

```
data_EuAsO4
_chemical_formula_sum 'Eu4 As4 O16'
_cell_length_a 7.3249
_cell_length_b 7.3249
_cell_length_c 6.5163
_cell_angle_alpha 90.00
_cell_angle_beta 90.00
_cell_angle_gamma 90.00
_space_group_name_H-M_alt 'I 41/a m d'
_space_group_IT_number 141
loop_
_space_group_symop_operation_xyz
'x,y,z'
'-x,-y,-z'
'-y+1/4,x+3/4,z+1/4'
'y+1/4,-x+3/4,-z+1/4'
'-x+1/2,-y,z+1/2'
'x+1/2,y,-z+1/2'
'y+1/4,-x+1/4,z+3/4'
'-y+1/4,x+1/4,-z+3/4'
'x,-y,-z'
'-x,y,z'
'-y+1/4,-x+1/4,-z+3/4'
'y+1/4,x+1/4,z+3/4'
'-x+1/2,y,-z+1/2'
'x+1/2,-y,z+1/2'
'y+1/4,x+3/4,-z+1/4'
'-y+1/4,-x+3/4,z+1/4'
'x+1/2,y+1/2,z+1/2'
'-x+1/2,-y+1/2,-z+1/2'
'-y+3/4,x+1/4,z+3/4'
'y+3/4,-x+1/4,-z+3/4'
'-x,-y+1/2,z'
'x,y+1/2,-z'
'y+3/4,-x+3/4,z+1/4'
'-y+3/4,x+3/4,-z+1/4'
'x+1/2,-y+1/2,-z+1/2'
'-x+1/2,y+1/2,z+1/2'
'-y+3/4,-x+3/4,-z+1/4'
'y+3/4,x+3/4,z+1/4'
'-x,y+1/2,-z'
'x,-y+1/2,z'
'y+3/4,x+1/4,-z+3/4'
'-y+3/4,-x+1/4,z+3/4'
loop_
_atom_site_label
_atom_site_type_symbol
_atom_site_fract_x
_atom_site_fract_y
_atom_site_fract_z
Eu1 Eu 0.0000 0.2500 0.3750
As1 As 0.0000 0.2500 0.8750
O1 O 0.0000 0.0706 0.7043
```

(10)
Material: CeDyTh2
Method: DFT, GGA-PBE
State: optimized geometry

**Spin magnetization**: 0.0 Bohr magnetons per cell
**Offset from the most stable computed form**: 159 meV/atom
**E_form**: 18.3 kJ per mole of atoms
**Electronic total energy**: -98.47 eV per cell
**Crystal system**: cubic
**Calculated volume**: 498 Å³ per cell

```
data_CeDyTh2
_chemical_formula_sum 'Ce4 Dy4 Th8'
_cell_length_a 7.9255
_cell_length_b 7.9255
_cell_length_c 7.9255
_cell_angle_alpha 90.00
_cell_angle_beta 90.00
_cell_angle_gamma 90.00
_space_group_name_H-M_alt 'F m -3 m'
_space_group_IT_number 225
_space_group_name_Hall '-F 4 2 3'
loop_
_atom_site_label
_atom_site_type_symbol
_atom_site_fract_x
_atom_site_fract_y
_atom_site_fract_z
Ce1 Ce 0.0000 0.0000 0.0000
Dy1 Dy 0.0000 0.0000 0.5000
Th1 Th 0.2500 0.2500 0.2500
```

(11)
Material: TbNdMgZn
Method: DFT, GGA-PBE
State: optimized geometry

**Spin magnetization**: 0.0 Bohr magnetons per cell
**Offset from the most stable computed form**: 0 meV/atom
**E_form**: -20.2 kJ per mole of atoms
**Electronic total energy**: -13.10 eV per cell
**Crystal system**: tetragonal
**Calculated volume**: 105 Å³ per cell

```
data_TbNdMgZn
_chemical_formula_sum 'Tb1 Nd1 Mg1 Zn1'
_cell_length_a 3.6689
_cell_length_b 3.6689
_cell_length_c 7.7892
_cell_angle_alpha 90.00
_cell_angle_beta 90.00
_cell_angle_gamma 90.00
_space_group_name_H-M_alt 'P 4 m m'
_space_group_IT_number 99
_space_group_name_Hall 'P 4 -2'
loop_
_atom_site_label
_atom_site_type_symbol
_atom_site_fract_x
_atom_site_fract_y
_atom_site_fract_z
Tb1 Tb 0.0000 0.0000 0.0000
Nd1 Nd 0.0000 0.0000 0.4502
Mg1 Mg 0.5000 0.5000 0.7338
Zn1 Zn 0.5000 0.5000 0.2096
```

(12)
Material: SnPdPt5
Method: DFT, GGA-PBE
State: optimized geometry

**Spin magnetization**: 0.0 Bohr magnetons per cell
**E_form**: -11.8 kJ per mole of atoms
**Electronic total energy**: -161.03 eV per cell
**Crystal system**: orthorhombic
**Calculated volume**: 484 Å³ per cell

```
data_SnPdPt5
_chemical_formula_sum 'Sn4 Pd4 Pt20'
_cell_length_a 5.5641
_cell_length_b 9.3214
_cell_length_c 9.3281
_cell_angle_alpha 90.00
_cell_angle_beta 90.00
_cell_angle_gamma 90.00
_space_group_name_H-M_alt 'I m m a'
_space_group_IT_number 74
_space_group_name_Hall '-I 2b 2'
loop_
_atom_site_label
_atom_site_type_symbol
_atom_site_fract_x
_atom_site_fract_y
_atom_site_fract_z
Sn1 Sn 0.0000 0.2500 0.0767
Pd1 Pd 0.2500 0.2500 0.7500
Pt1 Pt 0.0000 0.0194 0.2541
Pt2 Pt 0.0000 0.2500 0.4799
Pt3 Pt 0.2474 0.0000 0.0000
```